[1]
Here is crystalline Ho5TmTh2 at its relaxed geometry from Alexandria via LeMat-Bulk. Energies are from PBE-GGA.

Unit cell a=9.4616 b=9.4616 c=9.4616 alpha=139.74 beta=91.27 gamma=102.40
With the nearest neighbours (Å) after each atom.
Positions (direct):
Ho1 0.1492 0.0307 0.1184  4 Ho 3.22-3.56, 1 Tm 3.31, 2 Th 3.53
Ho2 0.2324 0.0000 0.7324  4 Ho 3.26-3.56, 3 Th 3.39-3.54, 2 Tm 3.52
Ho3 0.2324 0.5000 0.2324  4 Ho 3.26-3.56, 3 Th 3.39-3.54, 2 Tm 3.52
Ho4 0.2361 0.4861 0.7500  4 Th 3.31-3.53, 1 Tm 3.32
Ho5 0.4123 0.0307 0.3816  4 Ho 3.22-3.56, 1 Tm 3.31, 2 Th 3.53
Ho6 0.5877 0.9693 0.6184  4 Ho 3.22-3.56, 1 Tm 3.31, 2 Th 3.53
Ho7 0.7639 0.5139 0.2500  4 Th 3.31-3.53, 1 Tm 3.32
Ho8 0.7676 0.0000 0.2676  4 Ho 3.26-3.56, 3 Th 3.39-3.54, 2 Tm 3.52
Ho9 0.7676 0.5000 0.7676  4 Ho 3.26-3.56, 3 Th 3.39-3.54, 2 Tm 3.52
Ho10 0.8508 0.9693 0.8816  4 Ho 3.22-3.56, 1 Tm 3.31, 2 Th 3.53
Tm1 0.0436 0.7936 0.2500  7 Ho 3.31-3.52, 2 Tm 3.42
Tm2 0.9564 0.2064 0.7500  7 Ho 3.31-3.52, 2 Tm 3.42
Th1 0.0000 0.5000 0.5000  10 Ho 3.31-3.63
Th2 0.5000 0.0000 0.0000  2 Th 3.26, 8 Ho 3.53-3.54
Th3 0.5000 0.5000 0.0000  10 Ho 3.31-3.63
Th4 0.5000 0.5000 0.5000  2 Th 3.26, 8 Ho 3.53-3.54

Values from the calculation:
* E: -5.04 eV/atom
* density of states at the Fermi level: 15.01 states/eV/f.u.
* formation energy: 1.90 eV per formula unit

---

[2]
Here is crystalline Ho6Tm2Th at its relaxed geometry from Alexandria via LeMat-Bulk. Energies are from PBE-GGA.

Unit cell a=8.6654 b=8.6654 c=8.6654 alpha=46.62 beta=46.62 gamma=46.62
With the nearest neighbours (Å) after each atom.
Positions (direct):
Ho1 0.0026 0.4987 0.4987  6 Ho 3.27-3.46, 1 Th 3.28, 2 Tm 3.47
Ho2 0.2139 0.7257 0.7257  1 Th 3.18, 6 Ho 3.27-3.51, 2 Tm 3.54
Ho3 0.4987 0.0026 0.4987  6 Ho 3.27-3.46, 1 Th 3.28, 2 Tm 3.47
Ho4 0.4987 0.4987 0.0026  6 Ho 3.27-3.46, 1 Th 3.28, 2 Tm 3.47
Ho5 0.7257 0.2139 0.7257  1 Th 3.18, 6 Ho 3.27-3.51, 2 Tm 3.54
Ho6 0.7257 0.7257 0.2139  1 Th 3.18, 6 Ho 3.27-3.51, 2 Tm 3.54
Tm1 0.0238 0.0238 0.0238  9 Ho 3.47-3.68, 1 Tm 3.71
Tm2 0.1840 0.1840 0.1840  6 Ho 3.54, 1 Tm 3.71
Th1 0.7793 0.7793 0.7793  6 Ho 3.18-3.28

Values from the calculation:
* E: -4.44 eV/atom
* density of states at the Fermi level: 14.51 states/eV/f.u.
* formation energy: 3.91 eV per formula unit

---

[3]
Here is crystalline HoTm3Th2 at its relaxed geometry from Alexandria via LeMat-Bulk. Energies are from PBE-GGA.

Unit cell a=9.9446 b=3.5442 c=10.5432 alpha=90.00 beta=90.09 gamma=90.00
With the nearest neighbours (Å) after each atom.
Positions (direct):
Ho1 0.1235 0.2500 0.2510  5 Th 3.50-3.56, 5 Tm 3.50-3.57, 2 Ho 3.54
Ho2 0.8765 0.7500 0.7490  5 Th 3.50-3.56, 5 Tm 3.50-3.57, 2 Ho 3.54
Tm1 0.1311 0.2500 0.9180  3 Th 3.49-3.53, 6 Tm 3.49-3.60, 3 Ho 3.51-3.57
Tm2 0.3706 0.7500 0.4178  3 Th 3.49-3.53, 2 Ho 3.50, 7 Tm 3.51-3.57
Tm3 0.3761 0.7500 0.7507  7 Tm 3.49-3.56, 5 Th 3.49-3.54
Tm4 0.6239 0.2500 0.2493  7 Tm 3.49-3.56, 5 Th 3.49-3.54
Tm5 0.6294 0.2500 0.5822  3 Th 3.49-3.53, 2 Ho 3.50, 7 Tm 3.51-3.57
Tm6 0.8689 0.7500 0.0820  3 Th 3.49-3.53, 6 Tm 3.49-3.60, 3 Ho 3.51-3.57
Th1 0.1245 0.2500 0.5828  5 Tm 3.49-3.54, 3 Ho 3.50-3.51, 4 Th 3.51-3.54
Th2 0.3775 0.7500 0.0831  6 Tm 3.49-3.53, 4 Th 3.49-3.54, 2 Ho 3.56
Th3 0.6225 0.2500 0.9169  6 Tm 3.49-3.53, 4 Th 3.49-3.54, 2 Ho 3.56
Th4 0.8755 0.7500 0.4172  5 Tm 3.49-3.54, 3 Ho 3.50-3.51, 4 Th 3.51-3.54

Values from the calculation:
* E: -5.44 eV/atom
* density of states at the Fermi level: 7.62 states/eV/f.u.
* formation energy: 0.17 eV per formula unit

---

[4]
Here is crystalline Ho2Tm7Th at its relaxed geometry from Alexandria via LeMat-Bulk. Energies are from PBE-GGA.

Unit cell a=9.4462 b=9.4462 c=5.2167 alpha=90.00 beta=90.00 gamma=125.72
With the nearest neighbours (Å) after each atom.
Positions (direct):
Ho1 0.2011 0.7989 0.0000  5 Tm 3.11-3.38
Ho2 0.7989 0.2011 0.0000  5 Tm 3.11-3.38
Tm1 0.0000 0.0000 0.0000  4 Tm 3.33, 2 Ho 3.38
Tm2 0.2143 0.4321 0.0000  4 Tm 3.05-3.37, 1 Ho 3.19
Tm3 0.3020 0.6980 0.5000  2 Ho 3.11, 1 Th 3.33, 4 Tm 3.37
Tm4 0.4321 0.2143 0.0000  4 Tm 3.05-3.37, 1 Ho 3.19
Tm5 0.5679 0.7857 0.0000  4 Tm 3.05-3.37, 1 Ho 3.19
Tm6 0.6980 0.3020 0.5000  2 Ho 3.11, 1 Th 3.33, 4 Tm 3.37
Tm7 0.7857 0.5679 0.0000  4 Tm 3.05-3.37, 1 Ho 3.19
Th1 0.5000 0.5000 0.5000  10 Tm 3.33-3.53

Values from the calculation:
* E: -4.05 eV/atom
* density of states at the Fermi level: 16.65 states/eV/f.u.
* formation energy: 7.38 eV per formula unit

---

Question: What is the formation energy in the third record?
Answer: 0.17 eV per formula unit